BaU2PdS8: relaxed, PBE.

Unit cell a=6.350 b=8.187 c=6.511 alpha=90.00 beta=98.71 gamma=90.00
Fractional coordinates of all 12 atoms:
Ba (0.000, 0.000, 0.000)
U (0.500, 0.259, 0.500)
U (0.500, 0.741, 0.500)
Pd (0.000, 0.500, 0.000)
S (0.226, 0.305, 0.186)
S (0.226, 0.695, 0.186)
S (0.313, 0.500, 0.643)
S (0.318, 0.000, 0.642)
S (0.682, 0.000, 0.358)
S (0.687, 0.500, 0.357)
S (0.774, 0.305, 0.814)
S (0.774, 0.695, 0.814)

Output
Its energy is -74.8 eV per cell. Its volume is 27.88 Å³ per atom. The formation energy without anion corrections comes out at -1.01 eV per atom. Its space group is No. 10.